A plane-wave DFT calculation with PBE was carried out for a relaxed structure of Ca2YMgPt.

Cell: 5.5741 5.5741 5.4437 Å, 90.00 90.00 90.00°
Atoms (fractional coordinates):
Ca (0.0000, 0.5000, 0.0000)
Ca (0.5000, 0.0000, 0.0000)
Mg (0.5000, 0.5000, 0.5000)
Pt (0.0000, 0.0000, 0.0000)
Y (0.0000, 0.0000, 0.5000)

Computed properties:
Space-group type: No. 123
Total energy, eV per atom: -3.99
N(E_F), states/eV/f.u.: 4.1
Formation energy from the elements, kJ per mole of atoms: -36